# 1
VASP calculation (PBE) on a relaxed structure of ZnTeMo2.

Output
E: -96.561 eV for the cell shown
ρ: 9.19 g/cm3

a b c (Å): 6.5279 6.5279 6.5279
angles (deg): 90.00 90.00 90.00
With the nearest neighbours (Å) after each atom.
Space group F-43m (No. 216)
Unique sites:
1 Zn 0.0000 0.0000 0.0000 [4 per cell]  4 Te 2.83, 4 Mo 2.83
2 Te 0.2500 0.2500 0.7500 [4 per cell]  4 Mo 2.83, 4 Zn 2.83
3 Mo 0.0000 0.0000 0.5000 [4 per cell]  4 Mo 2.83, 4 Te 2.83
4 Mo 0.2500 0.2500 0.2500 [4 per cell]  4 Zn 2.83, 4 Mo 2.83


# 2
VASP calculation (PBE) on a relaxed structure of Gd2ErAl3Cu3.

Output
E: -80.553 eV for the cell shown
ρ: 7.27 g/cm3

a b c (Å): 4.0174 12.2043 7.0234
angles (deg): 90.00 90.00 90.00
With the nearest neighbours (Å) after each atom.
Space group Amm2 (No. 38)
Unique sites:
1 Gd 0.0000 0.2074 0.0000 [4 per cell]  5 Cu 2.92-2.94, 6 Al 3.18-3.24
2 Er 0.0000 0.0000 0.6223 [2 per cell]  5 Cu 2.89-2.90, 6 Al 3.18-3.22
3 Al 0.5000 0.0000 0.9725 [2 per cell]  4 Cu 2.62-2.73, 2 Al 2.87
4 Al 0.5000 0.1171 0.3271 [4 per cell]  4 Cu 2.60-2.80, 2 Al 2.86-2.87
5 Cu 0.0000 0.0000 0.2112 [2 per cell]  6 Al 2.60-2.62, 1 Er 2.89
6 Cu 0.5000 0.1639 0.7070 [4 per cell]  3 Al 2.73-2.80, 2 Er 2.90, 4 Gd 2.92-2.94


# 3
VASP calculation (PBE) on a relaxed structure of ZnFeAsOs.

Output
offset from the most stable computed form: 0.0000 eV per atom
ρ: 12.18 g/cm3

a b c (Å): 5.9506 5.9506 5.9506
angles (deg): 90.00 90.00 90.00
With the nearest neighbours (Å) after each atom.
Space group F-43m (No. 216)
Unique sites:
1 Zn 0.0000 0.0000 0.0000 [4 per cell]  4 Fe 2.58, 4 Os 2.58
2 Fe 0.2500 0.2500 0.7500 [4 per cell]  4 As 2.58, 4 Zn 2.58
3 As 0.0000 0.0000 0.5000 [4 per cell]  4 Fe 2.58, 4 Os 2.58
4 Os 0.2500 0.2500 0.2500 [4 per cell]  4 As 2.58, 4 Zn 2.58


# 4
VASP calculation (PBE) on a relaxed structure of Ho3IO4.

Output
E: -60.328 eV for the cell shown
ρ: 8.18 g/cm3

a b c (Å): 3.9047 3.9047 9.1318
angles (deg): 90.00 90.00 90.00
With the nearest neighbours (Å) after each atom.
Space group P4/mmm (No. 123)
Unique sites:
1 Ho 0.0000 0.0000 0.0000 [1 per cell]  8 O 2.38
2 Ho 0.5000 0.5000 0.2491 [2 per cell]  4 O 2.15
3 I 0.0000 0.0000 0.5000 [1 per cell]  8 Ho 3.59, 8 O 3.75, 4 I 3.90
4 O 0.0000 0.5000 0.1497 [4 per cell]  4 Ho 2.15-2.38


# 5
VASP calculation (PBE) on a relaxed structure of Cd7Hg2.

Output
E: -26.823 eV for the cell shown
ρ: 9.81 g/cm3

a b c (Å): 9.5531 5.6834 14.8151
angles (deg): 90.00 90.00 90.00
With the nearest neighbours (Å) after each atom.
Space group Cmcm (No. 63)
Unique sites:
1 Cd 0.0000 0.0622 0.2500 [4 per cell]  10 Cd 3.05-3.39, 2 Hg 3.10
2 Cd 0.1650 0.2080 0.0826 [16 per cell]  7 Cd 2.97-3.27, 4 Hg 3.03-3.27
3 Cd 0.1724 0.4582 0.7500 [8 per cell]  2 Hg 3.05, 10 Cd 3.08-3.39
4 Hg 0.0000 0.2883 0.5895 [8 per cell]  11 Cd 3.03-3.27


# 6
VASP calculation (PBE) on a relaxed structure of TlZn2O4.

Output
E: -248.298 eV for the cell shown
ρ: 7.69 g/cm3

a b c (Å): 8.8363 8.8363 8.8363
angles (deg): 90.00 90.00 90.00
With the nearest neighbours (Å) after each atom.
Space group Fd-3m (No. 227, origin choice 2)
Unique sites:
1 Tl 0.1250 0.1250 0.1250 [8 per cell]  4 O 2.15
2 Zn 0.0000 0.0000 0.5000 [16 per cell]  6 O 2.08
3 O 0.0156 0.0156 0.7344 [32 per cell]  3 Zn 2.08, 1 Tl 2.15


# 7
VASP calculation (PBE) on a relaxed structure of Ta2Br3N3.

Output
E: -170.416 eV for the cell shown
ρ: 6.30 g/cm3

a b c (Å): 6.2686 6.2686 14.9649
angles (deg): 90.00 90.00 120.00
With the nearest neighbours (Å) after each atom.
Space group R-3m (No. 166, hexagonal axes)
Unique sites:
1 Ta 0.0000 0.0000 0.2093 [6 per cell]  3 N 1.92
2 Br 0.0000 0.0000 0.0000 [3 per cell]  6 N 3.08, 2 Ta 3.13
3 Br 0.0000 0.0000 0.3743 [6 per cell]  1 Ta 2.47
4 N 0.0000 0.5000 0.5000 [9 per cell]  2 Ta 1.92


# 8
VASP calculation (PBE) on a relaxed structure of CuAg4.

Output
offset from the most stable computed form: 0.0334 eV per atom
ρ: 9.83 g/cm3

a b c (Å): 2.8779 4.0274 14.4303
angles (deg): 90.00 90.00 90.00
With the nearest neighbours (Å) after each atom.
Space group Immm (No. 71)
Unique sites:
1 Cu 0.0000 0.0000 0.0000 [2 per cell]  10 Ag 2.83-2.84, 2 Cu 2.88
2 Ag 0.0000 0.0000 0.1971 [4 per cell]  1 Cu 2.84, 11 Ag 2.88-3.00
3 Ag 0.0000 0.0000 0.4049 [4 per cell]  8 Ag 2.74-3.00, 4 Cu 2.83


# 9
VASP calculation (PBE) on a relaxed structure of NbBIrAu.

Output
offset from the most stable computed form: 0.0785 eV per atom
ρ: 13.80 g/cm3

a b c (Å): 6.1912 6.1912 6.1912
angles (deg): 90.00 90.00 90.00
With the nearest neighbours (Å) after each atom.
Space group F-43m (No. 216)
Unique sites:
1 Nb 0.0000 0.0000 0.0000 [4 per cell]  4 Ir 2.68, 4 B 2.68
2 B 0.2500 0.2500 0.7500 [4 per cell]  4 Nb 2.68, 4 Au 2.68
3 Ir 0.2500 0.2500 0.2500 [4 per cell]  4 Nb 2.68, 4 Au 2.68
4 Au 0.0000 0.0000 0.5000 [4 per cell]  4 B 2.68, 4 Ir 2.68


# 10
VASP calculation (PBE) on a relaxed structure of LuSc2Cu4Sn4.

Output
E: -105.074 eV for the cell shown
ρ: 7.70 g/cm3

a b c (Å): 4.3087 6.9791 14.2505
angles (deg): 90.00 90.00 90.00
With the nearest neighbours (Å) after each atom.
Space group Immm (No. 71)
Unique sites:
1 Lu 0.0000 0.0000 0.0000 [2 per cell]  6 Sn 3.00-3.12
2 Sc 0.0000 0.5000 0.1279 [4 per cell]  6 Sn 3.06-3.15, 6 Cu 3.12-3.14
3 Cu 0.0000 0.3093 0.3274 [8 per cell]  4 Sn 2.58-2.65, 1 Cu 2.66
4 Sn 0.0000 0.0000 0.2192 [4 per cell]  6 Cu 2.62-2.65
5 Sn 0.0000 0.2002 0.5000 [4 per cell]  2 Cu 2.58, 1 Sn 2.79


# 11
VASP calculation (PBE) on a relaxed structure of Ba6Nb2IrCl2O12.

Output
E: -161.284 eV for the cell shown
ρ: 5.38 g/cm3

a b c (Å): 5.9251 5.9251 14.8582
angles (deg): 90.00 90.00 120.00
With the nearest neighbours (Å) after each atom.
Space group P-3m1 (No. 164)
Unique sites:
1 Ba 0.3333 0.6667 0.0724 [2 per cell]  12 O 2.94-3.09
2 Ba 0.3333 0.6667 0.3691 [2 per cell]  3 O 2.54
3 Ba 0.3333 0.6667 0.7891 [2 per cell]  3 O 2.63
4 Nb 0.0000 0.0000 0.1872 [2 per cell]  3 O 1.89
5 Ir 0.0000 0.0000 0.0000 [1 per cell]  6 O 2.02
6 Cl 0.3333 0.6667 0.5794 [2 per cell]  2 Ba 3.12
7 O 0.1563 0.3127 0.9169 [6 per cell]  1 Ir 2.02, 1 Nb 2.23
8 O 0.1645 0.3291 0.2445 [6 per cell]  1 Nb 1.89


# 12
VASP calculation (PBE) on a relaxed structure of La3PrSe3S4.

Output
E: -133.879 eV for the cell shown
ρ: 4.94 g/cm3

a b c (Å): 10.2105 4.4046 13.7965
angles (deg): 90.00 90.00 90.00
With the nearest neighbours (Å) after each atom.
Space group Amm2 (No. 38)
Unique sites:
1 La 0.0000 0.0000 0.0000 [2 per cell]  4 S 2.77-2.82
2 La 0.2368 0.0000 0.7208 [4 per cell]  4 S 2.77-2.86
3 Pr 0.5000 0.0000 0.0184 [2 per cell]  4 S 2.79-2.86
4 Se 0.0000 0.0000 0.3390 [2 per cell]  2 La 3.13
5 Se 0.3802 0.0000 0.3712 [4 per cell]  1 Se 2.45
6 S 0.0000 0.0000 0.6221 [2 per cell]  4 La 2.77
7 S 0.2457 0.0000 0.0927 [4 per cell]  1 Pr 2.79, 3 La 2.82
8 S 0.5000 0.0000 0.6504 [2 per cell]  2 La 2.86, 2 Pr 2.86


# 13
VASP calculation (PBE) on a relaxed structure of GdCuIr.

Output
E: -70.323 eV for the cell shown
ρ: 10.75 g/cm3

a b c (Å): 6.3435 6.3435 6.3435
angles (deg): 90.00 90.00 90.00
With the nearest neighbours (Å) after each atom.
Space group F-43m (No. 216)
Unique sites:
1 Gd 0.0000 0.0000 0.0000 [4 per cell]  4 Ir 2.75
2 Cu 0.0000 0.0000 0.5000 [4 per cell]  4 Ir 2.75
3 Ir 0.2500 0.2500 0.7500 [4 per cell]  4 Gd 2.75, 4 Cu 2.75


# 14
VASP calculation (PBE) on a relaxed structure of Ho2Sc2CI2Cl3.

Output
offset from the most stable computed form: 0.0000 eV per atom
ρ: 4.82 g/cm3

a b c (Å): 19.3009 3.7085 7.7452
angles (deg): 90.00 100.10 90.00
With the nearest neighbours (Å) after each atom.
Space group C2/m (No. 12)
Unique sites:
1 Ho 0.0028 0.0000 0.2911 [4 per cell]  2 C 2.47, 1 Cl 2.73
2 Sc 0.1170 0.5000 0.5674 [4 per cell]  1 C 2.23
3 C 0.0000 0.5000 0.5000 [2 per cell]  2 Sc 2.23, 4 Ho 2.47
4 I 0.1651 0.0000 0.3222 [4 per cell]  2 Sc 2.92, 1 Ho 3.10
5 Cl 0.0000 0.5000 0.0000 [2 per cell]  4 Ho 2.91
6 Cl 0.1402 0.0000 0.8058 [4 per cell]  2 Sc 2.60, 1 Ho 2.73


# 15
VASP calculation (PBE) on a relaxed structure of HoScAl2Pt4.

Output
E: -52.062 eV for the cell shown
ρ: 12.05 g/cm3

a b c (Å): 4.2964 4.2964 9.0015
angles (deg): 90.00 90.00 120.00
With the nearest neighbours (Å) after each atom.
Space group P-6m2 (No. 187)
Unique sites:
1 Ho 0.0000 0.0000 0.0000 [1 per cell]  8 Pt 2.92-3.10
2 Sc 0.6667 0.3333 0.5000 [1 per cell]  8 Pt 2.85-2.96
3 Al 0.3333 0.6667 0.2571 [2 per cell]  6 Pt 2.60
4 Pt 0.0000 0.0000 0.3439 [2 per cell]  3 Al 2.60, 1 Pt 2.81, 3 Sc 2.85
5 Pt 0.6667 0.3333 0.1706 [2 per cell]  3 Al 2.60


# 16
VASP calculation (PBE) on a relaxed structure of FeNiGeAu.

Output
offset from the most stable computed form: 0.0000 eV per atom
ρ: 11.46 g/cm3

a b c (Å): 6.0611 6.0611 6.0611
angles (deg): 90.00 90.00 90.00
With the nearest neighbours (Å) after each atom.
Space group F-43m (No. 216)
Unique sites:
1 Fe 0.0000 0.0000 0.0000 [4 per cell]  4 Ge 2.62, 4 Au 2.62
2 Ni 0.0000 0.0000 0.5000 [4 per cell]  4 Au 2.62, 4 Ge 2.62
3 Ge 0.2500 0.2500 0.7500 [4 per cell]  4 Fe 2.62, 4 Ni 2.62
4 Au 0.2500 0.2500 0.2500 [4 per cell]  4 Fe 2.62, 4 Ni 2.62


# 17
VASP calculation (PBE) on a relaxed structure of MgBeCoSi.

Output
offset from the most stable computed form: 0.0171 eV per atom
ρ: 4.27 g/cm3

a b c (Å): 5.7182 5.7182 5.7182
angles (deg): 90.00 90.00 90.00
With the nearest neighbours (Å) after each atom.
Space group F-43m (No. 216)
Unique sites:
1 Mg 0.0000 0.0000 0.0000 [4 per cell]  4 Co 2.48, 4 Be 2.48
2 Be 0.2500 0.2500 0.2500 [4 per cell]  4 Mg 2.48, 4 Si 2.48
3 Co 0.2500 0.2500 0.7500 [4 per cell]  4 Mg 2.48, 4 Si 2.48
4 Si 0.0000 0.0000 0.5000 [4 per cell]  4 Be 2.48, 4 Co 2.48


# 18
VASP calculation (PBE) on a relaxed structure of SrNbOs.

Output
offset from the most stable computed form: 1.4536 eV per atom
ρ: 8.93 g/cm3

a b c (Å): 6.5082 6.5082 6.5082
angles (deg): 90.00 90.00 90.00
With the nearest neighbours (Å) after each atom.
Space group F-43m (No. 216)
Unique sites:
1 Sr 0.0000 0.0000 0.0000 [4 per cell]  4 Nb 2.82, 4 Os 2.82
2 Nb 0.2500 0.2500 0.7500 [4 per cell]  4 Sr 2.82
3 Os 0.2500 0.2500 0.2500 [4 per cell]  4 Sr 2.82


# 19
VASP calculation (PBE) on a relaxed structure of LuTe3AsPb.

Output
E: -99.283 eV for the cell shown
ρ: 7.75 g/cm3

a b c (Å): 4.2858 15.9519 10.5302
angles (deg): 90.00 90.00 90.00
With the nearest neighbours (Å) after each atom.
Space group Cmcm (No. 63)
Unique sites:
1 Lu 0.0000 0.0000 0.0000 [4 per cell]  6 Te 3.08-3.19, 4 As 3.45
2 Te 0.0000 0.1127 0.2500 [4 per cell]  2 Pb 3.15, 2 Lu 3.19, 2 As 3.22
3 Te 0.0000 0.3631 0.0370 [8 per cell]  1 As 2.74
4 As 0.0000 0.4621 0.2500 [4 per cell]  2 Te 2.74
5 Pb 0.0000 0.2426 0.7500 [4 per cell]  2 Te 3.15


# 20
VASP calculation (PBE) on a relaxed structure of SrGdNb.

Output
offset from the most stable computed form: 0.0000 eV per atom
ρ: 5.09 g/cm3

a b c (Å): 7.6095 7.6095 7.6095
angles (deg): 90.00 90.00 90.00
With the nearest neighbours (Å) after each atom.
Space group F-43m (No. 216)
Unique sites:
1 Sr 0.0000 0.0000 0.0000 [4 per cell]  4 Nb 3.30
2 Gd 0.0000 0.0000 0.5000 [4 per cell]  4 Nb 3.30
3 Nb 0.2500 0.2500 0.7500 [4 per cell]  4 Gd 3.30, 4 Sr 3.30


# 21
VASP calculation (PBE) on a relaxed structure of TlPtAu2.

Output
E: -57.998 eV for the cell shown
ρ: 17.85 g/cm3

a b c (Å): 6.6585 6.6585 6.6585
angles (deg): 90.00 90.00 90.00
With the nearest neighbours (Å) after each atom.
Space group F-43m (No. 216)
Unique sites:
1 Tl 0.0000 0.0000 0.0000 [4 per cell]  4 Pt 2.88, 4 Au 2.88
2 Pt 0.2500 0.2500 0.2500 [4 per cell]  4 Tl 2.88, 4 Au 2.88
3 Au 0.0000 0.0000 0.5000 [4 per cell]  4 Au 2.88, 4 Pt 2.88
4 Au 0.2500 0.2500 0.7500 [4 per cell]  4 Tl 2.88, 4 Au 2.88


# 22
VASP calculation (PBE) on a relaxed structure of NaSiGeIr.

Output
offset from the most stable computed form: 0.0000 eV per atom
ρ: 8.64 g/cm3

a b c (Å): 6.2401 6.2401 6.2401
angles (deg): 90.00 90.00 90.00
With the nearest neighbours (Å) after each atom.
Space group F-43m (No. 216)
Unique sites:
1 Na 0.0000 0.0000 0.0000 [4 per cell]  4 Ge 2.70, 4 Si 2.70
2 Si 0.2500 0.2500 0.2500 [4 per cell]  4 Na 2.70, 4 Ir 2.70
3 Ge 0.2500 0.2500 0.7500 [4 per cell]  4 Na 2.70, 4 Ir 2.70
4 Ir 0.0000 0.0000 0.5000 [4 per cell]  4 Ge 2.70, 4 Si 2.70


# 23
VASP calculation (PBE) on a relaxed structure of YMg2Cd.

Output
E: -45.211 eV for the cell shown
ρ: 4.44 g/cm3

a b c (Å): 7.2050 7.2050 7.2050
angles (deg): 90.00 90.00 90.00
With the nearest neighbours (Å) after each atom.
Space group F-43m (No. 216)
Unique sites:
1 Y 0.0000 0.0000 0.0000 [4 per cell]  4 Cd 3.12, 4 Mg 3.12
2 Mg 0.0000 0.0000 0.5000 [4 per cell]  4 Cd 3.12, 4 Mg 3.12
3 Mg 0.2500 0.2500 0.2500 [4 per cell]  4 Mg 3.12, 4 Y 3.12
4 Cd 0.2500 0.2500 0.7500 [4 per cell]  4 Mg 3.12, 4 Y 3.12


# 24
VASP calculation (PBE) on a relaxed structure of PrNd2Ga2Ni4.

Output
E: -94.209 eV for the cell shown
ρ: 7.72 g/cm3

a b c (Å): 10.1454 4.1681 8.2774
angles (deg): 90.00 98.97 90.00
With the nearest neighbours (Å) after each atom.
Space group C2/m (No. 12)
Unique sites:
1 Pr 0.0000 0.0000 0.0000 [2 per cell]  6 Ni 2.85-3.19
2 Nd 0.1240 0.5000 0.3793 [4 per cell]  6 Ni 2.85-3.05, 1 Ga 3.15
3 Ga 0.1776 0.5000 0.7837 [4 per cell]  5 Ni 2.44-2.53
4 Ni 0.0833 0.0000 0.6357 [4 per cell]  2 Ga 2.53, 2 Ni 2.59-2.70
5 Ni 0.2381 0.5000 0.0852 [4 per cell]  3 Ga 2.44-2.48, 3 Ni 2.55-2.70


# 25
VASP calculation (PBE) on a relaxed structure of HfMgHg2.

Output
E: -44.852 eV for the cell shown
ρ: 11.98 g/cm3

a b c (Å): 6.9449 6.9449 6.9449
angles (deg): 90.00 90.00 90.00
With the nearest neighbours (Å) after each atom.
Space group F-43m (No. 216)
Unique sites:
1 Hf 0.0000 0.0000 0.0000 [4 per cell]  4 Hg 3.01, 4 Mg 3.01
2 Mg 0.2500 0.2500 0.7500 [4 per cell]  4 Hg 3.01, 4 Hf 3.01
3 Hg 0.0000 0.0000 0.5000 [4 per cell]  4 Hg 3.01, 4 Mg 3.01
4 Hg 0.2500 0.2500 0.2500 [4 per cell]  4 Hg 3.01, 4 Hf 3.01